Record 1
CdSe2NCl | GGA-PBE | relaxed

Crystal system: tetragonal
Offset from the most stable computed form, meV per atom: 0
DOS(E_F), states/eV/atom: 0.756

a = 5.5385 Å, b = 5.5385 Å, c = 4.3214 Å
α = 90.00°, β = 90.00°, γ = 90.00°
With the nearest neighbours (Å) after each atom.
Space group P4/mmm (No. 123)
Unique sites:
Cd 0.0000 0.0000 0.0000 (multiplicity 1)  2 N 2.16
Se 0.0000 0.5000 0.0000 (multiplicity 2)  2 Cd 2.77
N 0.0000 0.0000 0.5000 (multiplicity 1)  2 Cd 2.16
Cl 0.5000 0.5000 0.5000 (multiplicity 1)  8 Se 3.51, 4 N 3.92



Record 2
TaCdNCl2 | GGA-PBE | relaxed

Crystal system: tetragonal
DOS(E_F), states/eV/atom: 1.619

a = 4.8206 Å, b = 4.8206 Å, c = 6.3517 Å
α = 90.00°, β = 90.00°, γ = 90.00°
With the nearest neighbours (Å) after each atom.
Space group P4/mmm (No. 123)
Unique sites:
Ta 0.0000 0.0000 0.0000 (multiplicity 1)  2 Cd 3.18, 4 N 3.41
Cd 0.0000 0.0000 0.5000 (multiplicity 1)  4 Cl 2.41
N 0.5000 0.5000 0.0000 (multiplicity 1)  4 Ta 3.41
Cl 0.0000 0.5000 0.5000 (multiplicity 2)  2 Cd 2.41



Record 3
CdTeN2Cl | GGA-PBE | relaxed

Crystal system: tetragonal
Offset from the most stable computed form, meV per atom: 0
DOS(E_F), states/eV/atom: 0.503

a = 4.3470 Å, b = 4.3470 Å, c = 6.4578 Å
α = 90.00°, β = 90.00°, γ = 90.00°
With the nearest neighbours (Å) after each atom.
Space group P4/mmm (No. 123)
Unique sites:
Cd 0.0000 0.0000 0.0000 (multiplicity 1)  4 N 2.17
Te 0.0000 0.0000 0.5000 (multiplicity 1)  4 Cl 3.07, 2 Cd 3.23
N 0.0000 0.5000 0.0000 (multiplicity 2)  2 Cd 2.17
Cl 0.5000 0.5000 0.5000 (multiplicity 1)  4 Te 3.07



Record 4
CdTeN2Cl | GGA-PBE | relaxed

Crystal system: tetragonal
Offset from the most stable computed form, meV per atom: 366
DOS(E_F), states/eV/atom: 0.412

a = 4.2366 Å, b = 4.2366 Å, c = 5.5343 Å
α = 90.00°, β = 90.00°, γ = 90.00°
With the nearest neighbours (Å) after each atom.
Space group P4/mmm (No. 123)
Unique sites:
Cd 0.0000 0.0000 0.0000 (multiplicity 1)  4 Te 3.00
Te 0.5000 0.5000 0.0000 (multiplicity 1)  2 Cl 2.77, 4 Cd 3.00
N 0.0000 0.5000 0.5000 (multiplicity 2)  2 Cl 2.12
Cl 0.5000 0.5000 0.5000 (multiplicity 1)  4 N 2.12



Record 5
Ti2CdNCl | GGA-PBE | relaxed

Crystal system: tetragonal
DOS(E_F), states/eV/atom: 0.674

a = 4.4941 Å, b = 4.4941 Å, c = 4.2783 Å
α = 90.00°, β = 90.00°, γ = 90.00°
With the nearest neighbours (Å) after each atom.
Space group P4/mmm (No. 123)
Unique sites:
Ti 0.0000 0.5000 0.0000 (multiplicity 2)  2 Cl 2.25
Cd 0.0000 0.0000 0.5000 (multiplicity 1)  8 Ti 3.10, 4 N 3.18
N 0.5000 0.5000 0.5000 (multiplicity 1)  2 Cl 2.14
Cl 0.5000 0.5000 0.0000 (multiplicity 1)  2 N 2.14, 4 Ti 2.25



Record 6
Na2CdCl4 | GGA-PBE | relaxed

Crystal system: orthorhombic
Offset from the most stable computed form, meV per atom: 0
DOS(E_F), states/eV/atom: 0.000

a = 7.0922 Å, b = 12.0813 Å, c = 3.9882 Å
α = 90.00°, β = 90.00°, γ = 90.00°
With the nearest neighbours (Å) after each atom.
Space group Pbam (No. 55)
Unique sites:
Na 0.0882 0.1823 0.0000 (multiplicity 4)  6 Cl 2.86-2.96
Cd 0.0000 0.5000 0.5000 (multiplicity 2)  6 Cl 2.62-2.70
Cl 0.1252 0.7038 0.5000 (multiplicity 4)  1 Cd 2.62, 4 Na 2.86
Cl 0.2471 0.4572 0.0000 (multiplicity 4)  2 Cd 2.70, 2 Na 2.95-2.96



Record 7
NaCdCl2 | GGA-PBE | relaxed

Crystal system: cubic
Offset from the most stable computed form, meV per atom: 116
DOS(E_F), states/eV/atom: 0.855

a = 7.2250 Å, b = 7.2250 Å, c = 7.2250 Å
α = 90.00°, β = 90.00°, γ = 90.00°
With the nearest neighbours (Å) after each atom.
Space group Fm-3m (No. 225)
Unique sites:
Na 0.0000 0.0000 0.0000 (multiplicity 4)  8 Cl 3.13
Cd 0.0000 0.0000 0.5000 (multiplicity 4)  8 Cl 3.13
Cl 0.2500 0.2500 0.2500 (multiplicity 8)  4 Cd 3.13, 4 Na 3.13



Record 8
NaCd2Cl | GGA-PBE | relaxed

Crystal system: cubic
Offset from the most stable computed form, meV per atom: 265
DOS(E_F), states/eV/atom: 0.097

a = 7.7978 Å, b = 7.7978 Å, c = 7.7978 Å
α = 90.00°, β = 90.00°, γ = 90.00°
With the nearest neighbours (Å) after each atom.
Space group Fm-3m (No. 225)
Unique sites:
Na 0.0000 0.0000 0.0000 (multiplicity 4)  8 Cd 3.38
Cd 0.2500 0.2500 0.2500 (multiplicity 8)  4 Cl 3.38, 4 Na 3.38
Cl 0.0000 0.0000 0.5000 (multiplicity 4)  8 Cd 3.38



Record 9
NaCdCl2 | GGA-PBE | relaxed

Crystal system: trigonal
Offset from the most stable computed form, meV per atom: 10
DOS(E_F), states/eV/atom: 0.242

a = 3.9546 Å, b = 3.9546 Å, c = 25.0947 Å
α = 90.00°, β = 90.00°, γ = 120.00°
With the nearest neighbours (Å) after each atom.
Space group R-3m (No. 166, hexagonal axes)
Unique sites:
Na 0.0000 0.0000 0.0000 (multiplicity 3)  6 Cl 2.79
Cd 0.0000 0.0000 0.5000 (multiplicity 3)  2 Cl 2.59
Cl 0.0000 0.0000 0.3969 (multiplicity 6)  1 Cd 2.59, 3 Na 2.79



Record 10
NaCd2Cl6 | GGA-PBE | relaxed

Crystal system: monoclinic

a = 12.7554 Å, b = 5.4426 Å, c = 9.0229 Å
α = 90.00°, β = 125.93°, γ = 90.00°
With the nearest neighbours (Å) after each atom.
Space group C2/m (No. 12)
Unique sites:
Na 0.0000 0.0000 0.0000 (multiplicity 2)  6 Cl 2.87-3.03
Cd 0.1761 0.0000 0.5819 (multiplicity 4)  6 Cl 2.59-2.76
Cl 0.0503 0.0000 0.7289 (multiplicity 4)  2 Cd 2.59-2.61, 1 Na 2.87
Cl 0.1250 0.5000 0.0681 (multiplicity 4)  1 Cd 2.65, 1 Cl 2.66
Cl 0.2168 0.5000 0.5943 (multiplicity 4)  3 Cd 2.63-2.76



Record 11
NaCdCl2 | GGA-PBE | relaxed

Crystal system: trigonal
Offset from the most stable computed form, meV per atom: 219
DOS(E_F), states/eV/atom: 0.895

a = 4.6036 Å, b = 4.6036 Å, c = 23.6084 Å
α = 90.00°, β = 90.00°, γ = 120.00°
With the nearest neighbours (Å) after each atom.
Space group R-3m (No. 166, hexagonal axes)
Unique sites:
Na 0.0000 0.0000 0.0000 (multiplicity 3)  2 Cl 2.52
Cd 0.0000 0.0000 0.5000 (multiplicity 3)  6 Cl 3.01
Cl 0.0000 0.0000 0.1069 (multiplicity 6)  1 Na 2.52



Record 12
Na12Cd3Cl5 | GGA-PBE | relaxed

Crystal system: cubic
DOS(E_F), states/eV/atom: 0.460

a = 17.3719 Å, b = 17.3719 Å, c = 17.3719 Å
α = 90.00°, β = 90.00°, γ = 90.00°
With the nearest neighbours (Å) after each atom.
Space group Ia-3d (No. 230)
Unique sites:
Na 0.0250 0.0639 0.6501 (multiplicity 96)  2 Cl 2.69-2.87
Cd 0.0000 0.2500 0.1250 (multiplicity 24)  8 Na 3.29-3.32
Cl 0.0000 0.0000 0.0000 (multiplicity 16)  6 Na 2.87
Cl 0.0000 0.2500 0.3750 (multiplicity 24)  4 Na 2.69



Number 1: formation energy from raw total energies 1.22 eV/atom, raw total energy -2.39 eV per atom. Number 2: formation energy from raw total energies 1.80 eV/atom, raw total energy -3.16 eV per atom. Number 3: formation energy from raw total energies 1.61 eV/atom, raw total energy -2.90 eV per atom. Number 4: formation energy from raw total energies 1.98 eV/atom, raw total energy -2.53 eV per atom. Number 5: formation energy from raw total energies 0.84 eV/atom, raw total energy -4.53 eV per atom. Number 6: formation energy from raw total energies -1.50 eV/atom, raw total energy -3.06 eV per atom. Number 7: formation energy from raw total energies -0.93 eV/atom, raw total energy -2.41 eV per atom. Number 8: formation energy from raw total energies -0.23 eV/atom, raw total energy -1.48 eV per atom. Number 9: formation energy from raw total energies -1.04 eV/atom, raw total energy -2.52 eV per atom. Number 10: formation energy from raw total energies -1.02 eV/atom, raw total energy -2.60 eV per atom. Number 11: formation energy from raw total energies -0.83 eV/atom, raw total energy -2.31 eV per atom. Number 12: formation energy from raw total energies -0.75 eV/atom, raw total energy -2.14 eV per atom.